Density functional theory data (PBE-GGA) for crystalline Zn2MoAs at its relaxed geometry.

CIF file:
```
data_Zn2MoAs
_chemical_formula_sum 'Zn4 Mo2 As2'
_cell_length_a 3.400
_cell_length_b 4.547
_cell_length_c 8.815
_cell_angle_alpha 90.00
_cell_angle_beta 90.00
_cell_angle_gamma 90.00
_symmetry_space_group_name_H-M 'C m m 2'
_symmetry_Int_Tables_number 35
_symmetry_space_group_name_Hall 'C 2 -2'
loop_
_atom_site_label
_atom_site_type_symbol
_atom_site_fract_x
_atom_site_fract_y
_atom_site_fract_z
_atom_site_occupancy
Zn1 Zn 0.000 0.000 0.000 1
Zn2 Zn 0.000 0.500 0.237 1
Mo1 Mo 0.000 0.500 0.762 1
As1 As 0.000 0.000 0.545 1
```

DFT total energy in eV/cell: -34.51
Calculated volume in A^3/atom: 17.04
Formation energy from the elements in eV/atom: 0.1930
Total magnetization in μB/cell: 0.00

Density functional theory data (PBE-GGA) for crystalline HfTl2CoCu at its relaxed geometry.

CIF file:
```
data_HfTl2CoCu
_chemical_formula_sum 'Hf1 Tl2 Co1 Cu1'
_cell_length_a 4.954
_cell_length_b 4.954
_cell_length_c 4.663
_cell_angle_alpha 90.00
_cell_angle_beta 90.00
_cell_angle_gamma 90.00
_symmetry_space_group_name_H-M 'P 4/m m m'
_symmetry_Int_Tables_number 123
_symmetry_space_group_name_Hall '-P 4 2'
loop_
_atom_site_label
_atom_site_type_symbol
_atom_site_fract_x
_atom_site_fract_y
_atom_site_fract_z
_atom_site_occupancy
Hf1 Hf 0.000 0.000 0.000 1
Tl1 Tl 0.000 0.500 0.500 1
Co1 Co 0.000 0.000 0.500 1
Cu1 Cu 0.500 0.500 0.000 1
```

DFT total energy in eV/cell: -23.35
Calculated volume in A^3/atom: 22.88
Formation energy from the elements in eV/atom: 0.5081
Total magnetization in μB/cell: 0.00

Density functional theory data (PBE-GGA) for crystalline BaTaRh2 at its relaxed geometry.

CIF file:
```
data_BaTaRh2
_chemical_formula_sum 'Ba1 Ta1 Rh2'
_cell_length_a 3.261
_cell_length_b 3.261
_cell_length_c 7.898
_cell_angle_alpha 90.00
_cell_angle_beta 90.00
_cell_angle_gamma 90.00
_symmetry_space_group_name_H-M 'P 4/m m m'
_symmetry_Int_Tables_number 123
_symmetry_space_group_name_Hall '-P 4 2'
loop_
_atom_site_label
_atom_site_type_symbol
_atom_site_fract_x
_atom_site_fract_y
_atom_site_fract_z
_atom_site_occupancy
Ba1 Ba 0.000 0.000 0.000 1
Ta1 Ta 0.000 0.000 0.500 1
Rh1 Rh 0.500 0.500 0.320 1
```

DFT total energy in eV/cell: -29.42
Calculated volume in A^3/atom: 21.00
Formation energy from the elements in eV/atom: -0.2359
Total magnetization in μB/cell: 0.00

Density functional theory data (PBE-GGA) for crystalline NaPu2S4 at its relaxed geometry.

CIF file:
```
data_NaPu2S4
_chemical_formula_sum 'Na4 Pu8 S16'
_cell_length_a 8.076
_cell_length_b 8.084
_cell_length_c 11.449
_cell_angle_alpha 90.00
_cell_angle_beta 90.00
_cell_angle_gamma 90.00
_symmetry_space_group_name_H-M 'I m m a'
_symmetry_Int_Tables_number 74
_symmetry_space_group_name_Hall '-I 2b 2'
loop_
_atom_site_label
_atom_site_type_symbol
_atom_site_fract_x
_atom_site_fract_y
_atom_site_fract_z
_atom_site_occupancy
Na1 Na 0.250 0.250 0.250 1
Pu1 Pu 0.000 0.000 0.000 1
Pu2 Pu 0.250 0.250 0.750 1
S1 S 0.000 0.020 0.760 1
S2 S 0.221 0.250 0.991 1
```

Raw formation energy in eV per atom: -1.437
DFT total energy in eV/cell: -226.21
Calculated volume in A^3/atom: 26.69
Total magnetization in μB/cell: 1.13

Density functional theory data (PBE-GGA) for crystalline V2NiHPt at its relaxed geometry.

CIF file:
```
data_V2NiHPt
_chemical_formula_sum 'V2 Ni1 H1 Pt1'
_cell_length_a 3.763
_cell_length_b 3.763
_cell_length_c 3.846
_cell_angle_alpha 90.00
_cell_angle_beta 90.00
_cell_angle_gamma 90.00
_symmetry_space_group_name_H-M 'P 4/m m m'
_symmetry_Int_Tables_number 123
_symmetry_space_group_name_Hall '-P 4 2'
loop_
_atom_site_label
_atom_site_type_symbol
_atom_site_fract_x
_atom_site_fract_y
_atom_site_fract_z
_atom_site_occupancy
V1 V 0.000 0.500 0.000 1
Ni1 Ni 0.000 0.000 0.500 1
H1 H 0.000 0.000 0.000 1
Pt1 Pt 0.500 0.500 0.500 1
```

DFT total energy in eV/cell: -35.08
Calculated volume in A^3/atom: 10.89
Total magnetization in μB/cell: 0.00